Entry 1:
A geometry-optimized Pm12Tl5Co2 structure. Source: the Alexandria database, functional PBE.

```
Pm12Tl5Co2
1.0
7.8175 0.0000 0.0000
-3.9087 8.5851 0.0505
0.0000 -2.9649 9.5647
Tl Pm Co
5 12 2
Cartesian
3.9087 0.8927 8.0290
0.0000 -1.4824 4.7823
3.9087 2.2440 3.4645
0.0000 3.3762 6.1506
0.0000 4.7275 1.5861
5.9030 0.9230 5.5365
3.9087 6.1491 7.9079
5.7258 2.4520 0.7713
0.0000 -0.5288 1.7072
2.0917 2.4520 0.7713
1.9145 0.9230 5.5365
0.0000 7.8848 2.2350
3.9087 -2.2645 7.3802
1.8171 3.1682 8.8438
1.9943 4.6972 4.0787
-1.8171 3.1682 8.8438
-1.9943 4.6972 4.0787
5.5355 0.0000 0.0000
2.2820 0.0000 0.0000
```

Summary:
* space group: No. 12
* theoretical density: 7.4 g/cm³
* ΔH_f (0 K): -0.06 eV per atom
* total magnetization: 0.0 Bohr magnetons per cell

---

Entry 2:
A geometry-optimized Pm5Tl2Co structure. Source: the Alexandria database, functional PBE.

```
Pm5Tl2Co
1.0
-1.7016 1.5036 4.9233
-6.3592 -5.1386 -3.6139
5.4059 -10.1933 4.9816
Pm Co Tl
10 2 4
Cartesian
-2.1674 -12.1351 5.9424
-2.4177 -3.5722 3.2407
-3.7646 -3.4089 -0.2600
-0.6964 -7.0139 4.8867
1.1097 -10.4194 6.5510
-0.4875 -1.6932 0.3486
1.0955 -4.6781 1.8074
-0.2372 -10.2562 3.0503
-3.7504 -9.1502 4.4836
-1.9585 -6.8144 1.4043
-1.3004 -4.1618 0.8216
-1.3545 -9.6665 5.4694
1.7514 -7.4824 2.8905
-5.6604 -3.9813 2.2449
-4.4063 -6.3459 3.4005
3.0055 -9.8470 4.0461
```

Summary:
* excess energy over the best structure of this formula in the dataset: 0.338 eV per atom
* space group: No. 63
* theoretical density: 6.8 g/cm³
* ΔH_f (0 K): 0.09 eV per atom
* total magnetization: 0.0 Bohr magnetons per cell

---

Entry 3:
A geometry-optimized Pm6Tl2Co structure. Source: the Alexandria database, functional PBE.

```
Pm6Tl2Co
1.0
-1.0881 6.4463 -3.2762
-3.6049 -3.3380 -5.3705
-8.7118 1.0906 5.1698
Pm Tl Co
12 4 2
Cartesian
-3.1899 6.3928 -1.8322
-7.0925 -0.3709 -2.3542
-6.3123 4.5698 -1.1227
-1.3734 0.8374 -2.0116
-3.1786 -0.8964 -4.6942
-10.2149 -2.1939 -1.6447
-8.8042 2.0460 -0.2944
-8.0886 2.8627 -3.7624
-10.2261 5.0953 1.2173
-4.6006 2.1529 -3.1825
-12.0313 3.3615 -1.4654
-5.3162 1.3362 0.2854
-3.9541 -1.3763 -1.3958
-7.0714 4.0428 2.2067
-6.3333 0.1561 -5.6837
-9.4506 5.5752 -2.0812
-2.3465 1.5542 -4.3234
-4.3559 0.5453 2.5849
```

Summary:
* excess energy over the best structure of this formula in the dataset: 0.031 eV per atom
* space group: No. 14
* theoretical density: 8.2 g/cm³
* ΔH_f (0 K): -0.19 eV per atom
* total magnetization: 0.0 Bohr magnetons per cell

---

Entry 4:
A geometry-optimized Pm4TlCo structure. Source: the Alexandria database, functional PBE.

```
Pm4TlCo
1.0
6.0537 -0.3739 0.0000
-2.0016 8.2782 0.0000
-2.0261 -3.9521 7.0213
Pm Co Tl
8 2 2
Cartesian
3.8804 5.7662 0.9518
3.0105 -1.1205 2.5397
3.1986 1.9511 0.9518
-0.9844 5.0726 4.4815
0.0164 0.9335 2.5397
-1.1725 2.0011 6.0695
2.0097 3.0186 4.4815
-1.8544 -1.8141 6.0695
4.5403 -0.2805 0.0171
-2.5142 4.2326 7.0042
0.5127 4.0456 1.7041
1.5134 -0.0935 5.3171
```

Summary:
* excess energy over the best structure of this formula in the dataset: 0.054 eV per atom
* space group: No. 15
* theoretical density: 8.1 g/cm³
* ΔH_f (0 K): -0.15 eV per atom
* total magnetization: 0.0 Bohr magnetons per cell

---

Entry 5:
A geometry-optimized Pm6Tl2Co structure. Source: the Alexandria database, functional PBE.

```
Pm6Tl2Co
1.0
-3.0162 1.0951 -2.0475
-4.3522 -7.3982 2.4544
-0.6574 7.4089 4.9308
Co Pm Tl
1 6 2
Cartesian
-1.5124 0.5402 -1.0213
-1.0092 -1.7156 0.5692
-4.5033 -5.6839 3.5938
-4.1120 -3.8788 0.4447
-3.8505 0.0096 5.6773
-3.5185 0.5538 1.9410
-6.2525 -2.4149 4.3808
-1.8874 2.4749 4.1039
-3.1196 -2.4600 3.2798
```

Summary:
* excess energy over the best structure of this formula in the dataset: 0.000 eV per atom
* space group: No. 38
* theoretical density: 8.5 g/cm³
* ΔH_f (0 K): -0.22 eV per atom
* total magnetization: 0.0 Bohr magnetons per cell

---

Entry 6:
A geometry-optimized Pm4TlCo structure. Source: the Alexandria database, functional PBE.

```
Pm4TlCo
1.0
8.4918 0.0000 4.9028
2.8306 8.0062 4.9028
0.0000 0.0000 9.8055
Tl Pm Co
4 16 4
Cartesian
4.7314 1.3295 4.9028
1.8802 1.3295 6.5489
1.8802 1.3295 3.2566
2.8306 4.0176 4.9028
6.3514 4.4911 14.7083
7.4216 7.5182 12.8546
7.4216 7.5182 16.5620
9.5621 4.4911 16.5620
5.6612 6.3289 9.8055
4.5648 3.2278 7.9065
9.1569 6.4749 9.8055
7.4090 1.5313 12.8328
4.5648 3.2278 11.7046
3.9134 6.4749 12.8328
2.1656 1.5313 9.8055
10.6323 7.5182 14.7083
7.4090 1.5313 6.7782
9.5621 4.4911 12.8546
7.8541 3.2278 9.8055
3.9134 6.4749 6.7782
3.1893 4.8771 9.8055
6.8972 4.8771 7.6647
6.8972 4.8771 11.9463
5.6612 1.3812 9.8055
```

Summary:
* excess energy over the best structure of this formula in the dataset: 0.000 eV per atom
* space group: No. 216
* theoretical density: 8.4 g/cm³
* ΔH_f (0 K): -0.21 eV per atom
* total magnetization: 0.0 Bohr magnetons per cell

---

Entry 7:
A geometry-optimized Pm11Tl9Co4 structure. Source: the Alexandria database, functional PBE.

```
Pm11Tl9Co4
1.0
3.7564 0.0000 0.0000
0.0000 12.3112 -5.1588
0.0000 0.0944 13.3480
Pm Tl Co
11 9 4
Cartesian
0.0000 3.8947 2.5710
0.0000 7.2392 9.2025
0.0000 5.1664 -1.0132
0.0000 7.7292 1.7823
0.0000 0.0000 0.0000
0.0000 11.3070 3.0403
0.0000 8.5109 5.6183
0.0000 4.6763 6.4070
0.0000 2.0805 10.3393
0.0000 10.3251 -2.1500
0.0000 1.0986 5.1489
1.8782 1.9999 7.6116
1.8782 2.7189 -0.1016
1.8782 6.2028 4.0946
1.8782 4.6204 9.3415
1.8782 9.6867 8.2908
1.8782 7.7852 -1.1522
1.8782 0.9751 2.5401
1.8782 11.4305 5.6492
1.8782 10.4056 0.5776
1.8782 6.8526 7.2054
1.8782 3.0870 4.7196
1.8782 5.5530 0.9839
1.8782 9.3186 3.4697
```

Summary:
* space group: No. 65
* theoretical density: 9.8 g/cm³
* ΔH_f (0 K): -0.30 eV per atom
* total magnetization: 0.0 Bohr magnetons per cell

---

Entry 8:
A geometry-optimized Pm4Tl2Co structure. Source: the Alexandria database, functional PBE.

```
Pm4Tl2Co
1.0
3.7983 0.0000 0.0000
0.0000 8.5570 1.3420
0.0000 -2.5793 6.1438
Pm Tl Co
4 2 1
Cartesian
1.8991 -1.3638 5.1153
0.0000 2.9080 1.8414
0.0000 3.9232 6.7138
1.8991 -0.3619 2.0986
1.8991 1.8598 4.7011
1.8991 4.9712 3.8536
0.0000 0.4266 0.5351
```

Summary:
* space group: No. 10
* theoretical density: 8.2 g/cm³
* ΔH_f (0 K): -0.09 eV per atom
* total magnetization: 0.0 Bohr magnetons per cell